# PBE-GGA AcNdYHo, relaxed
data_AcNdYHo
_space_group_name_H-M_alt 'P 1'
_space_group_IT_number 1
_space_group_name_Hall 'P 1'
_cell_length_a 5.8787
_cell_length_b 5.8787
_cell_length_c 5.8787
_cell_angle_alpha 60.00
_cell_angle_beta 60.00
_cell_angle_gamma 60.00
loop_
_atom_site_label
_atom_site_fract_x
_atom_site_fract_y
_atom_site_fract_z
_atom_site_occupancy
Ac1 0.0000 0.0000 0.0000 1
Nd1 0.5000 0.5000 0.5000 1
Y1 0.2500 0.2500 0.2500 1
Ho1 0.7500 0.7500 0.7500 1
# V ... 143.7 Å³/cell
# Space-group type ... No. 216
# ΔE_f ... 0.105 eV/atom
# Polymorph energy (0 for the lowest one) ... 4.5 kJ/mol of atoms
# Final energy ... -4.88 eV per atom